A relaxed Li2Cd2In2NiPt crystal, computed with PBE.

Computed properties:
size of the total moment: 0.0 μB/f.u.
total energy: -3.189 eV per atom

Cell lengths 4.5476, 4.5476, 6.4767 Å; angles 90.00, 90.00, 90.00 degrees
Closest atoms and distances in Å follow each position.
Space group P-4m2 (No. 115)
Asymmetric unit:
Li: 0.0000 0.0000 0.0000 [1 per cell]  4 Cd 2.75, 4 In 2.75
Li: 0.5000 0.5000 0.5000 [1 per cell]  4 In 2.83, 4 Cd 2.83
Cd: 0.0000 0.5000 0.2396 [2 per cell]  4 Li 2.75-2.83, 2 Ni 2.75, 2 Pt 2.83
In: 0.0000 0.5000 0.7601 [2 per cell]  4 Li 2.75-2.83, 2 Ni 2.75, 2 Pt 2.83
Ni: 0.5000 0.5000 0.0000 [1 per cell]  4 Cd 2.75, 4 In 2.75
Pt: 0.0000 0.0000 0.5000 [1 per cell]  4 In 2.83, 4 Cd 2.83

A relaxed Li2Cd2InNi2Sn crystal, computed with PBE.

Computed properties:
size of the total moment: 0.0 μB/f.u.
total energy: -3.163 eV per atom

Cell lengths 4.4895, 4.4895, 6.3348 Å; angles 90.00, 90.00, 90.00 degrees
Closest atoms and distances in Å follow each position.
Space group P-4m2 (No. 115)
Asymmetric unit:
Li: 0.0000 0.5000 0.2492 [2 per cell]  4 Cd 2.74-2.75, 2 In 2.74, 2 Sn 2.75
Cd: 0.0000 0.0000 0.5000 [1 per cell]  4 Ni 2.73, 4 Li 2.75
Cd: 0.5000 0.5000 0.0000 [1 per cell]  4 Li 2.74, 4 Ni 2.77
In: 0.0000 0.0000 0.0000 [1 per cell]  4 Li 2.74, 4 Ni 2.77
Ni: 0.0000 0.5000 0.7442 [2 per cell]  4 Cd 2.73-2.77, 2 Sn 2.73, 2 In 2.77
Sn: 0.5000 0.5000 0.5000 [1 per cell]  4 Ni 2.73, 4 Li 2.75

A relaxed Li4CdInPd2 crystal, computed with PBE.

Computed properties:
total energy: -3.150 eV per atom

Cell lengths 4.4867, 4.4867, 6.3364 Å; angles 90.00, 90.00, 90.00 degrees
Closest atoms and distances in Å follow each position.
Space group P-4m2 (No. 115)
Asymmetric unit:
Li: 0.0000 0.0000 0.0000 [1 per cell]  4 Li 2.73, 4 Pd 2.77
Li: 0.0000 0.5000 0.2462 [2 per cell]  2 Cd 2.73, 4 Li 2.73-2.76, 2 In 2.76
Li: 0.5000 0.5000 0.5000 [1 per cell]  4 Pd 2.72, 4 Li 2.76
Cd: 0.5000 0.5000 0.0000 [1 per cell]  4 Li 2.73, 4 Pd 2.77
In: 0.0000 0.0000 0.5000 [1 per cell]  4 Pd 2.72, 4 Li 2.76
Pd: 0.0000 0.5000 0.7439 [2 per cell]  2 In 2.72, 4 Li 2.72-2.77, 2 Cd 2.77

A relaxed Li2Cd2In2PdPt crystal, computed with PBE.

Computed properties:
size of the total moment: 0.0 μB/f.u.
total energy: -3.265 eV per atom

Cell lengths 4.6278, 4.6278, 6.5436 Å; angles 90.00, 90.00, 90.00 degrees
Closest atoms and distances in Å follow each position.
Space group P-4m2 (No. 115)
Asymmetric unit:
Li: 0.0000 0.0000 0.0000 [1 per cell]  4 In 2.83, 4 Cd 2.84
Li: 0.5000 0.5000 0.5000 [1 per cell]  4 Cd 2.83, 4 In 2.83
Cd: 0.0000 0.5000 0.7496 [2 per cell]  2 Pd 2.83, 4 Li 2.83-2.84, 2 Pt 2.84
In: 0.0000 0.5000 0.2502 [2 per cell]  2 Pd 2.83, 4 Li 2.83, 2 Pt 2.83
Pd: 0.0000 0.0000 0.5000 [1 per cell]  4 Cd 2.83, 4 In 2.83
Pt: 0.5000 0.5000 0.0000 [1 per cell]  4 In 2.83, 4 Cd 2.84

A relaxed Li2ScCdIn2Pd2 crystal, computed with PBE.

Computed properties:
size of the total moment: 0.0 μB/f.u.
total energy: -3.899 eV per atom

Cell lengths 4.6323, 4.6323, 6.5949 Å; angles 90.00, 90.00, 90.00 degrees
Closest atoms and distances in Å follow each position.
Space group P-4m2 (No. 115)
Asymmetric unit:
Li: 0.0000 0.5000 0.2310 [2 per cell]  2 Cd 2.77, 4 In 2.77-2.92, 2 Sc 2.92
Sc: 0.0000 0.0000 0.5000 [1 per cell]  4 Pd 2.80, 4 Li 2.92
Cd: 0.5000 0.5000 0.0000 [1 per cell]  4 Li 2.77, 4 Pd 2.89
In: 0.0000 0.0000 0.0000 [1 per cell]  4 Li 2.77, 4 Pd 2.89
In: 0.5000 0.5000 0.5000 [1 per cell]  4 Pd 2.80, 4 Li 2.92
Pd: 0.0000 0.5000 0.7385 [2 per cell]  4 In 2.80-2.89, 2 Sc 2.80, 2 Cd 2.89

A relaxed Li2Cd2InSnPd2 crystal, computed with PBE.

Computed properties:
total energy: -3.296 eV per atom

Cell lengths 4.6452, 4.6452, 6.5653 Å; angles 90.00, 90.00, 90.00 degrees
Closest atoms and distances in Å follow each position.
Space group P-4m2 (No. 115)
Asymmetric unit:
Li: 0.0000 0.5000 0.2501 [2 per cell]  4 Cd 2.84, 2 In 2.84, 2 Sn 2.84
Cd: 0.0000 0.0000 0.0000 [1 per cell]  4 Pd 2.84, 4 Li 2.84
Cd: 0.5000 0.5000 0.5000 [1 per cell]  4 Li 2.84, 4 Pd 2.85
In: 0.0000 0.0000 0.5000 [1 per cell]  4 Li 2.84, 4 Pd 2.85
Sn: 0.5000 0.5000 0.0000 [1 per cell]  4 Pd 2.84, 4 Li 2.84
Pd: 0.0000 0.5000 0.7505 [2 per cell]  4 Cd 2.84-2.85, 2 Sn 2.84, 2 In 2.85

A relaxed Li2ZrCdIn2Pd2 crystal, computed with PBE.

Computed properties:
size of the total moment: 0.0 μB/f.u.
total energy: -4.117 eV per atom

Cell lengths 4.6427, 4.6427, 6.5913 Å; angles 90.00, 90.00, 90.00 degrees
Closest atoms and distances in Å follow each position.
Space group P-4m2 (No. 115)
Asymmetric unit:
Li: 0.0000 0.5000 0.2261 [2 per cell]  2 Cd 2.76, 4 In 2.76-2.94, 2 Zr 2.94
Zr: 0.0000 0.0000 0.5000 [1 per cell]  4 Pd 2.80, 4 Li 2.94
Cd: 0.5000 0.5000 0.0000 [1 per cell]  4 Li 2.76, 4 Pd 2.90
In: 0.0000 0.0000 0.0000 [1 per cell]  4 Li 2.76, 4 Pd 2.90
In: 0.5000 0.5000 0.5000 [1 per cell]  4 Pd 2.80, 4 Li 2.94
Pd: 0.0000 0.5000 0.7366 [2 per cell]  4 In 2.80-2.90, 2 Zr 2.80, 2 Cd 2.90

A relaxed Li2ScCdIn2Pt2 crystal, computed with PBE.

Computed properties:
size of the total moment: 0.0 μB/f.u.
total energy: -4.224 eV per atom

Cell lengths 4.6165, 4.6165, 6.6326 Å; angles 90.00, 90.00, 90.00 degrees
Closest atoms and distances in Å follow each position.
Space group P-4m2 (No. 115)
Asymmetric unit:
Li: 0.0000 0.5000 0.2308 [2 per cell]  2 Cd 2.77, 4 In 2.77-2.92, 2 Sc 2.92
Sc: 0.0000 0.0000 0.5000 [1 per cell]  4 Pt 2.79, 4 Li 2.92
Cd: 0.5000 0.5000 0.0000 [1 per cell]  4 Li 2.77, 4 Pt 2.90
In: 0.0000 0.0000 0.0000 [1 per cell]  4 Li 2.77, 4 Pt 2.90
In: 0.5000 0.5000 0.5000 [1 per cell]  4 Pt 2.79, 4 Li 2.92
Pt: 0.0000 0.5000 0.7364 [2 per cell]  4 In 2.79-2.90, 2 Sc 2.79, 2 Cd 2.90

A relaxed Li2Cd2InSnPt2 crystal, computed with PBE.

Computed properties:
size of the total moment: 0.0 μB/f.u.
total energy: -3.545 eV per atom

Cell lengths 4.6333, 4.6333, 6.5427 Å; angles 90.00, 90.00, 90.00 degrees
Closest atoms and distances in Å follow each position.
Space group P-4m2 (No. 115)
Asymmetric unit:
Li: 0.0000 0.5000 0.2487 [2 per cell]  2 In 2.83, 4 Cd 2.83-2.84, 2 Sn 2.84
Cd: 0.0000 0.0000 0.0000 [1 per cell]  4 Li 2.83, 4 Pt 2.85
Cd: 0.5000 0.5000 0.5000 [1 per cell]  4 Pt 2.82, 4 Li 2.84
In: 0.5000 0.5000 0.0000 [1 per cell]  4 Li 2.83, 4 Pt 2.85
Sn: 0.0000 0.0000 0.5000 [1 per cell]  4 Pt 2.82, 4 Li 2.84
Pt: 0.0000 0.5000 0.7451 [2 per cell]  4 Cd 2.82-2.85, 2 Sn 2.82, 2 In 2.85

A relaxed Li2ZnCdIn2Pt2 crystal, computed with PBE.

Computed properties:
size of the total moment: 0.0 μB/f.u.
total energy: -3.456 eV per atom

Cell lengths 4.5655, 4.5655, 6.4705 Å; angles 90.00, 90.00, 90.00 degrees
Closest atoms and distances in Å follow each position.
Space group P-4m2 (No. 115)
Asymmetric unit:
Li: 0.0000 0.5000 0.2377 [2 per cell]  4 In 2.75-2.84, 2 Zn 2.75, 2 Cd 2.84, 1 Pt 3.05
Zn: 0.5000 0.5000 0.0000 [1 per cell]  4 Pt 2.74, 4 Li 2.75
Cd: 0.0000 0.0000 0.5000 [1 per cell]  4 Li 2.84, 4 Pt 2.86
In: 0.0000 0.0000 0.0000 [1 per cell]  4 Pt 2.74, 4 Li 2.75
In: 0.5000 0.5000 0.5000 [1 per cell]  4 Li 2.84, 4 Pt 2.86
Pt: 0.0000 0.5000 0.7656 [2 per cell]  4 In 2.74-2.86, 2 Zn 2.74, 2 Cd 2.86, 1 Li 3.05

A relaxed Li4ZnCdIn2 crystal, computed with PBE.

Computed properties:
total energy: -2.190 eV per atom

Cell lengths 4.6180, 4.6180, 6.5770 Å; angles 90.00, 90.00, 90.00 degrees
Closest atoms and distances in Å follow each position.
Space group P-4m2 (No. 115)
Asymmetric unit:
Li: 0.0000 0.0000 0.0000 [1 per cell]  4 In 2.78, 4 Li 2.80
Li: 0.0000 0.5000 0.2401 [2 per cell]  4 Li 2.80-2.87, 2 Zn 2.80, 2 Cd 2.87, 1 In 3.12
Li: 0.5000 0.5000 0.5000 [1 per cell]  4 Li 2.87, 4 In 2.89
Zn: 0.5000 0.5000 0.0000 [1 per cell]  4 In 2.78, 4 Li 2.80
Cd: 0.0000 0.0000 0.5000 [1 per cell]  4 Li 2.87, 4 In 2.89
In: 0.0000 0.5000 0.7651 [2 per cell]  4 Li 2.78-2.89, 2 Zn 2.78, 2 Cd 2.89

A relaxed Lu2CdIn crystal, computed with PBE.

Computed properties:
size of the total moment: 0.0 μB/f.u.
energy above the most stable polymorph in this dataset: 0 meV per atom

Cell lengths 4.9486, 4.9486, 10.0468 Å; angles 90.00, 90.00, 120.00 degrees
Closest atoms and distances in Å follow each position.
Space group P6_3/mmc (No. 194)
Asymmetric unit:
Lu: 0.3333 0.6667 0.0898 [4 per cell]  4 Lu 3.22-3.38, 3 Cd 3.28, 4 In 3.28-3.41
Cd: 0.0000 0.0000 0.2500 [2 per cell]  3 In 2.86
In: 0.3333 0.6667 0.7500 [2 per cell]  3 Cd 2.86